1.
# SrPuBiPd

An optimized crystal structure of SrPuBiPd (PBE, the Alexandria database).

Unit cell a=5.4272 b=5.4272 c=5.4272 alpha=60.00 beta=60.00 gamma=60.00
With the nearest neighbours (Å) after each atom.
Sites, in units of the cell vectors:
Sr 0.2500 0.2500 0.2500  4 Bi 3.32, 4 Pd 3.32
Bi 0.5000 0.5000 0.5000  4 Sr 3.32, 4 Pu 3.32
Pd 0.0000 0.0000 0.0000  4 Pu 3.32, 4 Sr 3.32
Pu 0.7500 0.7500 0.7500  4 Bi 3.32, 4 Pd 3.32

Symmetry ... F-43m (216)



2.
# Be2CrNi

An optimized crystal structure of Be2CrNi (PBE, the Alexandria database).

Unit cell a=7.7083 b=7.7083 c=7.7083 alpha=18.33 beta=18.33 gamma=18.33
With the nearest neighbours (Å) after each atom.
Sites, in units of the cell vectors:
Ni 0.7500 0.7500 0.7500  6 Be 2.30, 6 Ni 2.46
Be 0.0038 0.0038 0.0038  3 Ni 2.30, 3 Cr 2.44, 6 Be 2.46
Be 0.4962 0.4962 0.4962  3 Ni 2.30, 3 Cr 2.44, 6 Be 2.46
Cr 0.2500 0.2500 0.2500  6 Be 2.44, 6 Cr 2.46

Symmetry ... R-3m (166)



no.,magnetization (μB/atom),ΔH_f (0 K) (kJ/mol of atoms)
1,1.39,-39.63
2,0.09,2.94